No. 1
Ho2ScInN (PBE-GGA, optimized geometry); space-group type = P4/mmm (123)
1.0
4.516 0.000 0.000
0.000 4.785 0.000
0.000 0.000 4.785
Ho Sc In N
2 1 1 1
direct
0.000 0.000 0.500
0.000 0.500 0.000
0.500 0.000 0.000
0.500 0.500 0.500
0.000 0.000 0.000



No. 2
Sr2CrGaH (PBE-GGA, optimized geometry); space-group type = P4/mmm (123)
1.0
-0.591 -4.692 2.610
3.573 -1.263 -1.461
2.500 2.083 4.312
Sr H Ga Cr
2 1 1 1
direct
0.000 0.000 0.500
0.500 0.000 0.000
0.000 0.000 0.000
0.500 0.500 0.500
0.000 0.500 0.000



No. 3
Zn2HS (PBE-GGA, optimized geometry); space-group type = Fm-3m (225); energy above the most stable polymorph in this dataset = 434 meV per atom
1.0
3.130 -1.002 2.695
-0.924 -1.502 3.867
0.773 -4.073 0.939
H Zn S
1 2 1
direct
0.000 0.000 0.000
0.250 0.250 0.250
0.750 0.750 0.750
0.500 0.500 0.500



no.,uncorrected energy (eV/atom),D(E_F) (states/eV per cell)
1,-6.3412,2.6
2,-3.8713,1.9
3,-2.1610,2.5